Entry 1:
Computed, not measured: a relaxed Pu2CdNi4Ge3 crystal at the GGA-PBE level of DFT.

Values from the calculation:
E_tot	-7.013	eV per atom
calculated volume	171	Å³ per cell
formation enthalpy at 0 K	-357.6	meV/atom

a b c (Å): 4.1072 4.1072 10.1285
angles (deg): 90.00 90.00 90.00
Atoms (fractional coordinates):
Pu 0.5000 0.0000 0.2389
Pu 0.0000 0.5000 0.7611
Cd 0.5000 0.5000 0.5000
Ni 0.5000 0.5000 0.0000
Ni 0.0000 0.0000 0.0000
Ni 0.5000 0.0000 0.6489
Ni 0.0000 0.5000 0.3511
Ge 0.0000 0.0000 0.5000
Ge 0.5000 0.0000 0.8781
Ge 0.0000 0.5000 0.1219

=====

Entry 2:
Computed, not measured: a relaxed CoIBr2 crystal at the GGA-PBE level of DFT.

Values from the calculation:
E_tot	-2.154	eV per atom
excess energy over the best structure of this formula in the dataset	1091	meV/atom
calculated volume	105	Å³ per cell

a b c (Å): 5.2905 5.2905 5.2905
angles (deg): 60.00 60.00 60.00
Atoms (fractional coordinates):
I 0.5000 0.5000 0.5000
Co 0.0000 0.0000 0.0000
Br 0.2500 0.2500 0.2500
Br 0.7500 0.7500 0.7500